Density functional theory data (SCAN) for a PBEsol-optimized structure of Sr2HgP.

Cell: 4.4791 4.4093 11.4734 Å, 90.00 90.00 90.00°
With the nearest neighbours (Å) after each atom.
Space group Amm2 (No. 38)
Unique sites:
1 Sr 0.0000 0.0000 0.0000  4 P 3.20, 3 Hg 3.27-3.31
2 Sr 0.5000 0.0000 0.2737  3 P 3.21-3.36, 4 Hg 3.21
3 Hg 0.0000 0.0000 0.7149  2 P 2.91, 4 Sr 3.21
4 P 0.5000 0.0000 0.5532  2 Hg 2.91, 5 Sr 3.20-3.21

Results
Crystal system   orthorhombic
Formation energy   -0.942 eV/atom
Polymorph energy (0 for the lowest one)   0 meV/atom


Density functional theory data (SCAN) for a PBEsol-optimized structure of Ta2CrCl.

Cell: 4.2254 4.2254 6.8818 Å, 90.00 90.00 90.00°
With the nearest neighbours (Å) after each atom.
Space group I4/mmm (No. 139)
Unique sites:
1 Ta 0.0000 0.5000 0.2500  4 Cr 2.72, 4 Cl 2.72, 4 Ta 2.99
2 Cr 0.0000 0.0000 0.0000  8 Ta 2.72, 4 Cl 2.99
3 Cl 0.0000 0.0000 0.5000  8 Ta 2.72, 4 Cr 2.99

Results
Crystal system   tetragonal
E_form (uncorrected)   3.20 eV per formula unit
Polymorph energy (0 for the lowest one)   734 meV/atom


Density functional theory data (SCAN) for a PBEsol-optimized structure of CrCo2Os.

Cell: 3.5166 3.5166 7.2620 Å, 90.00 90.00 90.00°
With the nearest neighbours (Å) after each atom.
Space group I4/mmm (No. 139)
Unique sites:
1 Cr 0.0000 0.0000 0.0000  4 Os 2.49, 8 Co 2.53
2 Co 0.0000 0.5000 0.2500  4 Co 2.49, 4 Cr 2.53, 4 Os 2.53
3 Os 0.0000 0.0000 0.5000  4 Cr 2.49, 8 Co 2.53

Results
Crystal system   tetragonal
Formation energy   0.155 eV/atom
Polymorph energy (0 for the lowest one)   64 meV/atom


Density functional theory data (SCAN) for a PBEsol-optimized structure of BaFeSi2.

Cell: 3.9246 3.9246 17.8590 Å, 90.00 90.00 120.00°
With the nearest neighbours (Å) after each atom.
Space group R-3m (No. 166, hexagonal axes)
Unique sites:
1 Ba 0.0000 0.0000 0.0000  8 Si 3.33-3.51
2 Fe 0.0000 0.0000 0.5000  6 Si 2.33
3 Si 0.0000 0.0000 0.1966  3 Fe 2.33, 3 Si 2.51

Results
Crystal system   trigonal
E_form (uncorrected)   -0.79 eV per formula unit


Density functional theory data (SCAN) for a PBEsol-optimized structure of CsTi3Si2P6O25.

Cell: 8.2892 8.2892 17.3850 Å, 90.00 90.00 120.00°
With the nearest neighbours (Å) after each atom.
Space group P-31c (No. 163)
Unique sites:
1 Cs 0.3333 0.6667 0.2500  6 O 3.21
2 Ti 0.3333 0.6667 0.0224  6 O 1.96-1.98
3 Ti 0.3333 0.6667 0.7500  6 O 1.96
4 Si 0.0000 0.0000 0.0918  4 O 1.60-1.62
5 P 0.0521 0.3850 0.6091  4 O 1.52-1.59
6 O 0.0000 0.0000 0.0000  2 Si 1.60
7 O 0.0230 0.1933 0.1255  1 P 1.59, 1 Si 1.62
8 O 0.1183 0.5201 0.0893  1 P 1.53
9 O 0.1333 0.4810 0.6855  1 P 1.52
10 O 0.1937 0.4454 0.5437  1 P 1.53

Results
Crystal system   trigonal
E_form (uncorrected)   -103.64 eV per formula unit


Density functional theory data (SCAN) for a PBEsol-optimized structure of Ce2Fe17C3.

Cell: 8.5221 8.5221 12.2025 Å, 90.00 90.00 120.00°
With the nearest neighbours (Å) after each atom.
Space group R-3m (No. 166, hexagonal axes)
Unique sites:
1 Ce 0.0000 0.0000 0.1543  3 C 2.46
2 Fe 0.0000 0.0000 0.4040  7 Fe 2.34-2.61
3 Fe 0.0000 0.2822 0.5000  1 C 1.86
4 Fe 0.0000 0.5000 0.0000  10 Fe 2.39-2.61
5 Fe 0.0088 0.5044 0.3472  1 C 1.87
6 C 0.0000 0.5000 0.5000  4 Fe 1.86-1.87

Results
Crystal system   trigonal
Formation energy   -0.028 eV/atom


Density functional theory data (SCAN) for a PBEsol-optimized structure of MnNbCr2N.

Cell: 3.8511 3.8511 3.7659 Å, 90.00 90.00 90.00°
With the nearest neighbours (Å) after each atom.
Space group P4/mmm (No. 123)
Unique sites:
1 Mn 0.0000 0.0000 0.0000  2 N 1.88
2 Nb 0.5000 0.5000 0.0000  8 Cr 2.69, 4 Mn 2.72
3 Cr 0.0000 0.5000 0.5000  2 N 1.93
4 N 0.0000 0.0000 0.5000  2 Mn 1.88, 4 Cr 1.93

Results
Crystal system   tetragonal
E_form (uncorrected)   -1.28 eV per formula unit


Density functional theory data (SCAN) for a PBEsol-optimized structure of PrBi2ClO4.

Cell: 3.9205 3.9205 8.9563 Å, 90.00 90.00 90.00°
With the nearest neighbours (Å) after each atom.
Space group P4/mmm (No. 123)
Unique sites:
1 Pr 0.0000 0.0000 0.0000  8 O 2.45
2 Bi 0.5000 0.5000 0.2868  4 O 2.24
3 Cl 0.0000 0.0000 0.5000  8 Bi 3.37, 8 O 3.58
4 O 0.0000 0.5000 0.1650  2 Bi 2.24, 2 Pr 2.45

Results
Crystal system   tetragonal
E_form (uncorrected)   -16.40 eV per formula unit


no.,total DFT energy (no corrections) (eV/atom)
1,-31.721
2,-39.083
3,-31.063
4,-19.627
5,-11.561
6,-19.466
7,-19.745
8,-31.224